No. 1
TiFe3N after structural relaxation, computed with PBE.

a = 4.3137 Å, b = 4.3137 Å, c = 4.3137 Å
α = 90.00°, β = 90.00°, γ = 90.00°
With the nearest neighbours (Å) after each atom.
Fractional positions:
Fe: 0.0000 0.5000 0.0000  2 Ti 2.16
Fe: 0.0000 0.0000 0.5000  2 Ti 2.16
Fe: 0.5000 0.0000 0.0000  2 Ti 2.16
N: 0.5000 0.5000 0.5000  12 Fe 3.05
Ti: 0.0000 0.0000 0.0000  6 Fe 2.16

Calculated values
Total DFT energy (no corrections)   -30.6 eV for the cell shown


No. 2
TiFeN2 after structural relaxation, computed with PBE.

a = 4.1062 Å, b = 5.7836 Å, c = 6.9151 Å
α = 90.00°, β = 90.00°, γ = 90.00°
With the nearest neighbours (Å) after each atom.
Fractional positions:
Ti: 0.2500 0.8893 0.1234  5 N 1.98-2.06
Ti: 0.7500 0.1107 0.8766  5 N 1.98-2.06
Ti: 0.7500 0.6107 0.6234  5 N 1.98-2.06
Ti: 0.2500 0.3893 0.3766  5 N 1.98-2.06
N: 0.2500 0.5448 0.1213  2 Ti 1.98-1.99, 3 Fe 2.00-2.07
N: 0.7500 0.3973 0.3918  2 Fe 1.91-1.95, 3 Ti 2.02-2.06
N: 0.2500 0.6027 0.6082  2 Fe 1.91-1.95, 3 Ti 2.02-2.06
N: 0.2500 0.1027 0.8918  2 Fe 1.91-1.95, 3 Ti 2.02-2.06
N: 0.2500 0.0448 0.3787  2 Ti 1.98-1.99, 3 Fe 2.00-2.07
N: 0.7500 0.4552 0.8787  2 Ti 1.98-1.99, 3 Fe 2.00-2.07
N: 0.7500 0.9552 0.6213  2 Ti 1.98-1.99, 3 Fe 2.00-2.07
N: 0.7500 0.8973 0.1082  2 Fe 1.91-1.95, 3 Ti 2.02-2.06
Fe: 0.7500 0.0649 0.3464  5 N 1.91-2.07
Fe: 0.7500 0.5649 0.1536  5 N 1.91-2.07
Fe: 0.2500 0.4351 0.8464  5 N 1.91-2.07
Fe: 0.2500 0.9351 0.6536  5 N 1.91-2.07

Calculated values
Total DFT energy (no corrections)   -144.4 eV for the cell shown


No. 3
TiFeN2 after structural relaxation, computed with PBE.

a = 4.3485 Å, b = 4.3485 Å, c = 5.5071 Å
α = 66.75°, β = 66.75°, γ = 90.00°
With the nearest neighbours (Å) after each atom.
Fractional positions:
N: 0.3750 0.3528 0.7500  2 Fe 1.86, 2 Ti 1.97
N: 0.8750 0.8972 0.7500  2 Fe 1.86, 2 Ti 1.97
N: 0.6472 0.1250 0.2500  2 Fe 1.86, 2 Ti 1.97
N: 0.1028 0.6250 0.2500  2 Fe 1.86, 2 Ti 1.97
Fe: 0.0000 0.0000 0.0000  4 N 1.86
Fe: 0.7500 0.2500 0.5000  4 N 1.86
Ti: 0.2500 0.7500 0.5000  4 N 1.97
Ti: 0.5000 0.5000 0.0000  4 N 1.97

Calculated values
Total DFT energy (no corrections)   -71.5 eV for the cell shown


No. 4
TiFeN2 after structural relaxation, computed with PBE.

a = 3.6499 Å, b = 3.6499 Å, c = 3.6499 Å
α = 60.00°, β = 60.00°, γ = 60.00°
With the nearest neighbours (Å) after each atom.
Fractional positions:
N: 0.7500 0.7500 0.7500  4 Fe 2.24, 4 Ti 2.24
N: 0.2500 0.2500 0.2500  4 Fe 2.24, 4 Ti 2.24
Ti: 0.0000 0.0000 0.0000  8 N 2.24
Fe: 0.5000 0.5000 0.5000  8 N 2.24

Calculated values
Total DFT energy (no corrections)   -33.8 eV for the cell shown


No. 5
YTiFe11N after structural relaxation, computed with PBE.

a = 6.5184 Å, b = 6.5184 Å, c = 6.5184 Å
α = 136.78°, β = 98.17°, γ = 97.42°
With the nearest neighbours (Å) after each atom.
Fractional positions:
Fe: 0.5013 0.0013 0.9991  9 Fe 2.40-2.63, 1 Ti 2.67
Fe: 0.7809 0.2780 0.5028  1 N 1.91
Fe: 0.7734 0.5000 0.2734  1 N 1.92
Fe: 0.2229 0.5000 0.7229  1 N 1.92
Fe: 0.6408 0.6408 0.0000  9 Fe 2.42-2.68
Fe: 0.9978 0.4977 0.9991  9 Fe 2.40-2.63, 1 Ti 2.67
Fe: 0.5013 0.5023 0.5001  9 Fe 2.40-2.63, 1 Ti 2.67
Fe: 0.2248 0.7220 0.5028  1 N 1.91
Fe: 0.3592 0.3592 0.0000  9 Fe 2.42-2.68
Fe: 0.9978 0.9987 0.5001  9 Fe 2.40-2.63, 1 Ti 2.67
Fe: 0.6424 0.0000 0.6424  1 Ti 2.36, 4 Fe 2.61
Y: 0.9930 0.0000 0.9930  2 N 2.40
N: 0.9985 0.5000 0.4985  4 Fe 1.91-1.92
Ti: 0.3659 0.0000 0.3659  1 Fe 2.36

Calculated values
Total DFT energy (no corrections)   -118.3 eV for the cell shown


No. 6
YTiFeN2 after structural relaxation, computed with PBE.

a = 4.3145 Å, b = 5.9558 Å, c = 4.3145 Å
α = 90.00°, β = 90.00°, γ = 90.00°
With the nearest neighbours (Å) after each atom.
Fractional positions:
N: 0.5000 0.0000 0.0000  2 Y 2.16
N: 0.0000 0.0000 0.5000  2 Y 2.16
Y: 0.0000 0.0000 0.0000  4 N 2.16
Fe: 0.5000 0.5000 0.5000  4 Ti 3.05
Ti: 0.0000 0.5000 0.0000  2 Y 2.98, 4 Fe 3.05

Calculated values
Total DFT energy (no corrections)   -31.1 eV for the cell shown


No. 7
Tl2FeN after structural relaxation, computed with PBE.

a = 4.5737 Å, b = 4.5737 Å, c = 4.5737 Å
α = 60.00°, β = 60.00°, γ = 60.00°
With the nearest neighbours (Å) after each atom.
Fractional positions:
Tl: 0.7500 0.7500 0.7500  4 Fe 2.80, 4 N 2.80
Tl: 0.2500 0.2500 0.2500  4 Fe 2.80, 4 N 2.80
Fe: 0.5000 0.5000 0.5000  8 Tl 2.80
N: 0.0000 0.0000 0.0000  8 Tl 2.80

Calculated values
Total DFT energy (no corrections)   -15.1 eV for the cell shown


No. 8
Tl2FeN after structural relaxation, computed with PBE.

a = 6.6459 Å, b = 6.6459 Å, c = 5.9046 Å
α = 55.75°, β = 55.75°, γ = 90.00°
With the nearest neighbours (Å) after each atom.
Fractional positions:
Tl: 0.5770 0.1250 0.2500  2 N 2.32
Tl: 0.8750 0.8270 0.7500  2 N 2.32
Tl: 0.1730 0.6250 0.2500  2 N 2.32
Tl: 0.3750 0.4230 0.7500  2 N 2.32
N: 0.2500 0.7500 0.5000  4 Tl 2.32
N: 0.5000 0.5000 0.0000  4 Tl 2.32
Fe: 0.7500 0.2500 0.5000  4 Tl 2.74
Fe: 0.0000 0.0000 0.0000  4 Tl 2.74

Calculated values
Total DFT energy (no corrections)   -34.3 eV for the cell shown


No. 9
TlFeN after structural relaxation, computed with PBE.

a = 3.4194 Å, b = 3.4194 Å, c = 8.7795 Å
α = 90.00°, β = 90.00°, γ = 90.00°
With the nearest neighbours (Å) after each atom.
Fractional positions:
N: 0.5000 0.0000 0.5934  4 Fe 1.90
N: 0.0000 0.5000 0.4066  4 Fe 1.90
Fe: 0.0000 0.0000 0.5000  4 N 1.90
Fe: 0.5000 0.5000 0.5000  4 N 1.90
Tl: 0.5000 0.0000 0.1742  4 N 3.16, 4 Fe 3.33, 4 Tl 3.42
Tl: 0.0000 0.5000 0.8258  4 N 3.16, 4 Fe 3.33, 4 Tl 3.42

Calculated values
Total DFT energy (no corrections)   -37.5 eV for the cell shown


No. 10
TlVFeN2 after structural relaxation, computed with PBE.

a = 4.2196 Å, b = 4.8857 Å, c = 4.2196 Å
α = 90.00°, β = 90.00°, γ = 90.00°
With the nearest neighbours (Å) after each atom.
Fractional positions:
N: 0.0000 0.0000 0.5000  2 Tl 2.11
N: 0.5000 0.0000 0.0000  2 Tl 2.11
V: 0.5000 0.5000 0.5000  4 Fe 2.98, 8 N 3.23
Tl: 0.0000 0.0000 0.0000  4 N 2.11
Fe: 0.0000 0.5000 0.0000  2 Tl 2.44

Calculated values
Total DFT energy (no corrections)   -23.5 eV for the cell shown


No. 11
Y2TlFeN after structural relaxation, computed with PBE.

a = 4.9854 Å, b = 4.9854 Å, c = 3.8583 Å
α = 90.00°, β = 90.00°, γ = 90.00°
With the nearest neighbours (Å) after each atom.
Fractional positions:
Tl: 0.5000 0.5000 0.5000  8 Y 3.15, 4 Fe 3.53
Y: 0.5000 0.0000 0.0000  2 N 2.49
Y: 0.0000 0.5000 0.0000  2 N 2.49
Fe: 0.0000 0.0000 0.5000  2 N 1.93
N: 0.0000 0.0000 0.0000  2 Fe 1.93

Calculated values
Total DFT energy (no corrections)   -35.2 eV for the cell shown


No. 12
U2FeN after structural relaxation, computed with PBE.

a = 2.9066 Å, b = 2.9066 Å, c = 6.8069 Å
α = 90.00°, β = 90.00°, γ = 90.00°
With the nearest neighbours (Å) after each atom.
Fractional positions:
Fe: 0.5000 0.5000 0.0000  8 U 2.79, 4 Fe 2.91
U: 0.0000 0.0000 0.2772  4 N 2.55, 4 Fe 2.79
U: 0.0000 0.0000 0.7228  4 N 2.55, 4 Fe 2.79
N: 0.5000 0.5000 0.5000  8 U 2.55

Calculated values
Total DFT energy (no corrections)   -40.2 eV for the cell shown


No. 13
UFeN after structural relaxation, computed with PBE.

a = 3.8578 Å, b = 3.8578 Å, c = 4.0254 Å
α = 118.63°, β = 118.63°, γ = 90.00°
With the nearest neighbours (Å) after each atom.
Fractional positions:
Fe: 0.2980 0.2980 0.5961  1 N 1.80
N: 0.6027 0.6027 0.2053  1 Fe 1.80
U: 0.9493 0.9493 0.8986  1 N 2.05, 1 Fe 2.06

Calculated values
Total DFT energy (no corrections)   -28.4 eV for the cell shown


No. 14
U2FeN after structural relaxation, computed with PBE.

a = 3.3431 Å, b = 3.3431 Å, c = 6.7643 Å
α = 75.69°, β = 75.69°, γ = 60.00°
With the nearest neighbours (Å) after each atom.
Fractional positions:
U: 0.7585 0.7585 0.7245  3 N 2.42, 3 Fe 2.63
U: 0.2415 0.2415 0.2755  3 N 2.42, 3 Fe 2.63
Fe: 0.0000 0.0000 0.0000  6 U 2.63
N: 0.5000 0.5000 0.5000  6 U 2.42

Calculated values
Total DFT energy (no corrections)   -41.1 eV for the cell shown


No. 15
UFeN after structural relaxation, computed with PBE.

a = 3.7231 Å, b = 4.5219 Å, c = 10.0821 Å
α = 90.00°, β = 90.00°, γ = 90.00°
With the nearest neighbours (Å) after each atom.
Fractional positions:
U: 0.5000 0.0000 0.3924  2 N 2.18
U: 0.5000 0.5000 0.0705  2 N 2.36, 4 Fe 2.56
U: 0.0000 0.0000 0.9295  2 N 2.36, 4 Fe 2.56
U: 0.0000 0.5000 0.6076  2 N 2.18
N: 0.0000 0.5000 0.8628  4 Fe 2.28, 2 U 2.36
N: 0.0000 0.0000 0.5044  2 U 2.18
N: 0.5000 0.5000 0.4956  2 U 2.18
N: 0.5000 0.0000 0.1372  4 Fe 2.28, 2 U 2.36
Fe: 0.5000 0.7498 0.7956  2 Fe 2.26, 2 N 2.28
Fe: 0.0000 0.7502 0.2044  2 Fe 2.26, 2 N 2.28
Fe: 0.0000 0.2498 0.2044  2 Fe 2.26, 2 N 2.28
Fe: 0.5000 0.2502 0.7956  2 Fe 2.26, 2 N 2.28

Calculated values
Total DFT energy (no corrections)   -115.7 eV for the cell shown


No. 16
UFeN after structural relaxation, computed with PBE.

a = 3.2843 Å, b = 3.5977 Å, c = 3.5977 Å
α = 120.00°, β = 90.00°, γ = 90.00°
With the nearest neighbours (Å) after each atom.
Fractional positions:
N: 0.8533 0.0000 0.0000  3 Fe 2.08
U: 0.3310 0.6667 0.3333  6 N 2.60-2.69, 6 Fe 2.62-2.68
Fe: 0.8158 0.3333 0.6667  3 N 2.08

Calculated values
Total DFT energy (no corrections)   -29.4 eV for the cell shown


No. 17
V3Fe3N after structural relaxation, computed with PBE.

a = 7.5465 Å, b = 7.5465 Å, c = 7.5465 Å
α = 60.00°, β = 60.00°, γ = 60.00°
With the nearest neighbours (Å) after each atom.
Fractional positions:
Fe: 0.1250 0.6250 0.6250  6 Fe 2.29
Fe: 0.6250 0.6250 0.1250  6 Fe 2.29
Fe: 0.8302 0.8302 0.5093  6 Fe 2.29-2.42
Fe: 0.6250 0.6250 0.6250  6 Fe 2.29
Fe: 0.8302 0.8302 0.8302  6 Fe 2.29-2.42
Fe: 0.4198 0.7407 0.4198  6 Fe 2.29-2.42
Fe: 0.6250 0.1250 0.6250  6 Fe 2.29
Fe: 0.4198 0.4198 0.4198  6 Fe 2.29-2.42
Fe: 0.4198 0.4198 0.7407  6 Fe 2.29-2.42
Fe: 0.5093 0.8302 0.8302  6 Fe 2.29-2.42
Fe: 0.7407 0.4198 0.4198  6 Fe 2.29-2.42
Fe: 0.8302 0.5093 0.8302  6 Fe 2.29-2.42
V: 0.1932 0.8068 0.8068  2 N 2.02
V: 0.8068 0.1932 0.8068  2 N 2.02
V: 0.0568 0.0568 0.4432  2 N 2.02
V: 0.0568 0.4432 0.0568  2 N 2.02
V: 0.4432 0.0568 0.0568  2 N 2.02
V: 0.0568 0.4432 0.4432  2 N 2.02
V: 0.1932 0.1932 0.8068  2 N 2.02
V: 0.8068 0.8068 0.1932  2 N 2.02
V: 0.4432 0.0568 0.4432  2 N 2.02
V: 0.1932 0.8068 0.1932  2 N 2.02
V: 0.8068 0.1932 0.1932  2 N 2.02
V: 0.4432 0.4432 0.0568  2 N 2.02
N: 0.1250 0.6250 0.1250  6 V 2.02
N: 0.1250 0.1250 0.1250  6 V 2.02
N: 0.1250 0.1250 0.6250  6 V 2.02
N: 0.6250 0.1250 0.1250  6 V 2.02

Calculated values
Total DFT energy (no corrections)   -256.7 eV for the cell shown


No. 18
V3Fe2N after structural relaxation, computed with PBE.

a = 6.4264 Å, b = 6.4264 Å, c = 6.4264 Å
α = 90.00°, β = 90.00°, γ = 90.00°
With the nearest neighbours (Å) after each atom.
Fractional positions:
Fe: 0.1775 0.8225 0.3225  3 Fe 2.37, 3 V 2.64
Fe: 0.9275 0.5725 0.4275  3 Fe 2.37, 3 V 2.64
Fe: 0.0725 0.0725 0.0725  3 Fe 2.37, 3 V 2.64
Fe: 0.8225 0.3225 0.1775  3 Fe 2.37, 3 V 2.64
Fe: 0.6775 0.6775 0.6775  3 Fe 2.37, 3 V 2.64
Fe: 0.5725 0.4275 0.9275  3 Fe 2.37, 3 V 2.64
Fe: 0.3225 0.1775 0.8225  3 Fe 2.37, 3 V 2.64
Fe: 0.4275 0.9275 0.5725  3 Fe 2.37, 3 V 2.64
V: 0.7933 0.9567 0.3750  2 N 2.01
V: 0.5433 0.6250 0.2933  2 N 2.01
V: 0.0433 0.8750 0.7067  2 N 2.01
V: 0.1250 0.2067 0.4567  2 N 2.01
V: 0.4567 0.1250 0.2067  2 N 2.01
V: 0.2933 0.5433 0.6250  2 N 2.01
V: 0.2067 0.4567 0.1250  2 N 2.01
V: 0.7067 0.0433 0.8750  2 N 2.01
V: 0.6250 0.2933 0.5433  2 N 2.01
V: 0.9567 0.3750 0.7933  2 N 2.01
V: 0.3750 0.7933 0.9567  2 N 2.01
V: 0.8750 0.7067 0.0433  2 N 2.01
N: 0.8750 0.1250 0.6250  6 V 2.01
N: 0.6250 0.8750 0.1250  6 V 2.01
N: 0.3750 0.3750 0.3750  6 V 2.01
N: 0.1250 0.6250 0.8750  6 V 2.01

Calculated values
Total DFT energy (no corrections)   -221.7 eV for the cell shown


No. 19
V4FeN after structural relaxation, computed with PBE.

a = 5.8533 Å, b = 4.8856 Å, c = 5.1648 Å
α = 90.00°, β = 103.39°, γ = 90.00°
With the nearest neighbours (Å) after each atom.
Fractional positions:
V: 0.8768 0.6132 0.1418  1 N 1.91
V: 0.7038 0.6591 0.5944  2 N 2.04-2.06
V: 0.3768 0.8868 0.1418  1 N 1.91
V: 0.6232 0.1132 0.8582  1 N 1.91
V: 0.7962 0.1591 0.4056  2 N 2.04-2.06
V: 0.2038 0.8409 0.5944  2 N 2.04-2.06
V: 0.2962 0.3409 0.4056  2 N 2.04-2.06
V: 0.1232 0.3868 0.8582  1 N 1.91
Fe: 0.5000 0.5000 0.0000  4 V 2.21-2.23
Fe: 0.0000 0.0000 0.0000  4 V 2.21-2.23
N: 0.5000 0.0000 0.5000  6 V 1.91-2.06
N: 0.0000 0.5000 0.5000  6 V 1.91-2.06

Calculated values
Total DFT energy (no corrections)   -110.4 eV for the cell shown


No. 20
VFeN2 after structural relaxation, computed with PBE.

a = 6.1091 Å, b = 6.1091 Å, c = 6.1091 Å
α = 27.21°, β = 27.21°, γ = 27.21°
With the nearest neighbours (Å) after each atom.
Fractional positions:
N: 0.1045 0.1045 0.1045  1 Fe 1.84, 3 V 1.99
N: 0.8955 0.8955 0.8955  1 Fe 1.84, 3 V 1.99
Fe: 0.0000 0.0000 0.0000  2 N 1.84
V: 0.5000 0.5000 0.5000  6 N 1.99

Calculated values
Total DFT energy (no corrections)   -35.3 eV for the cell shown


No. 21
V3FeN after structural relaxation, computed with PBE.

a = 3.8944 Å, b = 3.8944 Å, c = 3.8944 Å
α = 90.00°, β = 90.00°, γ = 90.00°
With the nearest neighbours (Å) after each atom.
Fractional positions:
N: 0.0000 0.0000 0.0000  6 V 1.95
V: 0.0000 0.0000 0.5000  2 N 1.95
V: 0.0000 0.5000 0.0000  2 N 1.95
V: 0.5000 0.0000 0.0000  2 N 1.95
Fe: 0.5000 0.5000 0.5000  12 V 2.75

Calculated values
Total DFT energy (no corrections)   -46.5 eV for the cell shown


No. 22
VFeN2 after structural relaxation, computed with PBE.

a = 2.8284 Å, b = 2.8284 Å, c = 9.9359 Å
α = 90.00°, β = 90.00°, γ = 120.00°
With the nearest neighbours (Å) after each atom.
Fractional positions:
N: 0.6667 0.3333 0.3742  3 V 2.05, 3 Fe 2.06
N: 0.3333 0.6667 0.6258  3 V 2.05, 3 Fe 2.06
N: 0.6667 0.3333 0.1258  3 V 2.05, 3 Fe 2.06
N: 0.3333 0.6667 0.8742  3 V 2.05, 3 Fe 2.06
Fe: 0.0000 0.0000 0.5000  6 N 2.06
Fe: 0.0000 0.0000 0.0000  6 N 2.06
V: 0.6667 0.3333 0.7500  6 N 2.05
V: 0.3333 0.6667 0.2500  6 N 2.05

Calculated values
Total DFT energy (no corrections)   -71.4 eV for the cell shown


No. 23
VFeN3 after structural relaxation, computed with PBE.

a = 3.6366 Å, b = 3.6366 Å, c = 3.6366 Å
α = 90.00°, β = 90.00°, γ = 90.00°
With the nearest neighbours (Å) after each atom.
Fractional positions:
Fe: 0.0000 0.0000 0.0000  6 N 1.82
V: 0.5000 0.5000 0.5000  12 N 2.57
N: 0.0000 0.5000 0.0000  2 Fe 1.82
N: 0.5000 0.0000 0.0000  2 Fe 1.82
N: 0.0000 0.0000 0.5000  2 Fe 1.82

Calculated values
Total DFT energy (no corrections)   -38.1 eV for the cell shown


No. 24
VFe3N after structural relaxation, computed with PBE.

a = 4.2458 Å, b = 4.2458 Å, c = 4.2458 Å
α = 90.00°, β = 90.00°, γ = 90.00°
With the nearest neighbours (Å) after each atom.
Fractional positions:
Fe: 0.0000 0.5000 0.0000  2 V 2.12
Fe: 0.5000 0.0000 0.0000  2 V 2.12
Fe: 0.0000 0.0000 0.5000  2 V 2.12
V: 0.0000 0.0000 0.0000  6 Fe 2.12
N: 0.5000 0.5000 0.5000  12 Fe 3.00

Calculated values
Total DFT energy (no corrections)   -32.3 eV for the cell shown